Here is AsOs after structural relaxation from Alexandria via LeMat-Bulk. Energies are from GGA-PBE.

POSCAR file:
```
AsOs
1.0
2.9064 0.0000 0.0000
0.0000 2.9064 0.0000
0.0000 0.0000 8.4845
As Os
2 2
direct
0.2500 0.2500 0.2019 As
0.7500 0.7500 0.7981 As
0.2500 0.2500 0.6109 Os
0.7500 0.7500 0.3891 Os
```

Spin magnetization = 0.00 Bohr magnetons per cell
E_tot = -31.11 eV for the cell shown
Space-group type = P4/nmm
ΔE_f = 163 meV/atom